Rb2ThF6 | PBE-GGA | optimized geometry

Cell and atoms, written as POSCAR:
```
Rb2ThF6
1.0
6.886 -3.269 0.000
6.886 3.269 0.000
-1.294 0.000 4.033
Rb Th F
2 1 6
Direct
0.169 0.169 0.168
0.831 0.831 0.832
0.500 0.500 0.500
0.148 0.580 0.365
0.308 0.692 0.000
0.420 0.852 0.635
0.580 0.148 0.365
0.692 0.308 0.000
0.852 0.420 0.635
```

Computed properties:
space group	No. 12
energy	-5.898	eV/atom
theoretical density	4.73	Mg/m³
uncorrected formation energy	-3.611	eV/atom

---

K2AlAuI | PBE-GGA | optimized geometry

Cell and atoms, written as POSCAR:
```
K2AlAuI
1.0
6.693 0.000 0.000
0.000 6.693 0.000
0.000 0.000 4.751
K Al Au I
2 1 1 1
Direct
0.000 0.500 0.000
0.500 0.000 0.000
0.000 0.000 0.000
0.000 0.000 0.500
0.500 0.500 0.500
```

Computed properties:
space group	No. 123
energy	-2.519	eV/atom
theoretical density	3.35	Mg/m³
uncorrected formation energy	-0.366	eV/atom

---

Zn8Cu6Si | PBE-GGA | optimized geometry

Cell and atoms, written as POSCAR:
```
Zn8Cu6Si
1.0
3.527 2.036 5.087
-3.527 2.036 5.087
0.000 -4.072 5.087
Zn Cu Si
8 6 1
Direct
0.033 0.379 0.720
0.168 0.168 0.168
0.280 0.967 0.621
0.379 0.720 0.033
0.621 0.280 0.967
0.720 0.033 0.379
0.832 0.832 0.832
0.967 0.621 0.280
0.130 0.780 0.454
0.220 0.546 0.870
0.454 0.130 0.780
0.546 0.870 0.220
0.780 0.454 0.130
0.870 0.220 0.546
0.500 0.500 0.500
```

Computed properties:
space group	No. 148
energy	-2.717	eV/atom
theoretical density	7.07	Mg/m³
uncorrected formation energy	-0.038	eV/atom

---

AlSb4Te | PBE-GGA | optimized geometry

Cell and atoms, written as POSCAR:
```
AlSb4Te
1.0
0.000 4.422 4.422
4.422 0.000 4.422
4.422 4.422 0.000
Al Sb Te
1 4 1
Direct
0.000 0.000 0.000
0.126 0.625 0.625
0.625 0.126 0.625
0.625 0.625 0.126
0.625 0.625 0.625
0.250 0.250 0.250
```

Computed properties:
space group	No. 216
energy	-3.500	eV/atom
theoretical density	6.16	Mg/m³
uncorrected formation energy	0.396	eV/atom

---

La5PmN6 | PBE-GGA | optimized geometry

Cell and atoms, written as POSCAR:
```
La5PmN6
1.0
3.230 -5.596 0.000
3.230 5.596 0.000
-2.149 0.000 6.089
La Pm N
5 1 6
Direct
0.000 0.000 0.000
0.167 0.833 0.500
0.335 0.665 0.000
0.665 0.335 0.000
0.833 0.167 0.500
0.500 0.500 0.500
0.090 0.418 0.253
0.256 0.256 0.749
0.418 0.090 0.253
0.582 0.910 0.747
0.744 0.744 0.251
0.910 0.582 0.747
```

Computed properties:
space group	No. 12
energy	-7.945	eV/atom
theoretical density	6.97	Mg/m³
uncorrected formation energy	-1.333	eV/atom

---

HfPa2Te8 | PBE-GGA | optimized geometry

Cell and atoms, written as POSCAR:
```
HfPa2Te8
1.0
7.066 0.000 0.000
-3.533 6.120 0.000
0.000 0.000 11.168
Hf Pa Te
1 2 8
Direct
0.000 0.000 0.000
0.333 0.667 0.353
0.667 0.333 0.647
0.165 0.331 0.172
0.165 0.835 0.172
0.331 0.165 0.828
0.333 0.667 0.615
0.667 0.333 0.385
0.669 0.835 0.172
0.835 0.165 0.828
0.835 0.669 0.828
```

Computed properties:
space group	No. 164
energy	-5.126	eV/atom
theoretical density	5.71	Mg/m³
uncorrected formation energy	-0.210	eV/atom

---

Mn2Sb2Br | PBE-GGA | optimized geometry

Cell and atoms, written as POSCAR:
```
Mn2Sb2Br
1.0
7.522 0.000 0.000
0.000 7.522 0.000
0.000 0.000 3.185
Mn Sb Br
4 4 2
Direct
0.142 0.358 0.000
0.358 0.858 0.000
0.642 0.142 0.000
0.858 0.642 0.000
0.148 0.648 0.500
0.352 0.148 0.500
0.648 0.852 0.500
0.852 0.352 0.500
0.000 0.000 0.000
0.500 0.500 0.000
```

Computed properties:
space group	No. 127
energy	-5.213	eV/atom
theoretical density	7.99	Mg/m³
uncorrected formation energy	0.438	eV/atom

---

KTcPAu | PBE-GGA | optimized geometry

Cell and atoms, written as POSCAR:
```
KTcPAu
1.0
3.869 0.000 0.000
0.000 3.869 0.000
0.000 0.000 12.486
K Tc P Au
2 2 2 2
Direct
0.250 0.250 0.232
0.750 0.750 0.768
0.250 0.750 0.500
0.750 0.250 0.500
0.250 0.250 0.616
0.750 0.750 0.384
0.250 0.750 0.000
0.750 0.250 0.000
```

Computed properties:
space group	No. 129
energy	-5.394	eV/atom
DFT formation energy	-0.3566	eV per atom
theoretical density	6.48	Mg/m³